Density functional theory data (PBE) for LiYPbI6 after structural relaxation.

Total magnetic moment: 0.000 μB/atom
Space group: No. 163
Uncorrected formation energy: -9.6 eV/f.u.
Total DFT energy (no corrections): -62.0 eV for the cell shown

Unit cell a=7.7111 b=7.7111 c=14.1454 alpha=90.00 beta=90.00 gamma=120.00
Fractional coordinates of all 18 atoms:
Li (0.3333, 0.6667, 0.2500)
Li (0.6667, 0.3333, 0.7500)
Y (0.6667, 0.3333, 0.2500)
Y (0.3333, 0.6667, 0.7500)
Pb (0.0000, 0.0000, 0.0000)
Pb (0.0000, 0.0000, 0.5000)
I (0.6444, 0.6480, 0.1289)
I (0.0036, 0.3556, 0.1289)
I (0.3556, 0.0036, 0.6289)
I (0.9964, 0.6444, 0.8711)
I (0.3520, 0.3556, 0.3711)
I (0.0036, 0.6480, 0.3711)
I (0.6480, 0.0036, 0.8711)
I (0.6444, 0.9964, 0.3711)
I (0.9964, 0.3520, 0.6289)
I (0.3520, 0.9964, 0.1289)
I (0.6480, 0.6444, 0.6289)
I (0.3556, 0.3520, 0.8711)



Density functional theory data (PBE) for Tl3Cu2I2Cl4 after structural relaxation.

Total magnetic moment: 0.000 μB/atom
Space group: No. 139
Uncorrected formation energy: -7.0 eV/f.u.
Total DFT energy (no corrections): -32.7 eV for the cell shown

Unit cell a=4.8073 b=4.8073 c=14.4712 alpha=99.56 beta=99.56 gamma=90.00
Fractional coordinates of all 11 atoms:
Tl (0.0000, 0.0000, 0.0000)
Tl (0.1724, 0.1724, 0.3447)
Tl (0.8276, 0.8276, 0.6553)
Cu (0.4030, 0.4030, 0.8061)
Cu (0.5970, 0.5970, 0.1939)
I (0.3038, 0.3038, 0.6075)
I (0.6962, 0.6962, 0.3925)
Cl (0.4192, 0.9192, 0.8383)
Cl (0.9192, 0.4192, 0.8383)
Cl (0.0808, 0.5808, 0.1617)
Cl (0.5808, 0.0808, 0.1617)



Density functional theory data (PBE) for TiCuRu3 after structural relaxation.

Formation energy: 1.310 eV per atom
Total magnetic moment: 0.527 μB/atom
Space group: No. 221
Excess energy over the best structure of this formula in the dataset: 2.49 kJ/mol of atoms
Total DFT energy (no corrections): -33.3 eV for the cell shown

Unit cell a=4.4932 b=4.4932 c=4.4932 alpha=90.00 beta=90.00 gamma=90.00
Site moments in Bohr magnetons follow the coordinates.
Fractional coordinates of all 5 atoms:
Ru (0.0000, 0.5000, 0.0000)  0.91
Ru (0.0000, 0.0000, 0.5000)  0.87
Ru (0.5000, 0.0000, 0.0000)  0.85
Cu (0.5000, 0.5000, 0.5000)  0.11
Ti (0.0000, 0.0000, 0.0000)  -0.15



Density functional theory data (PBE) for PmPuTh2 after structural relaxation.

Formation energy: 0.307 eV per atom
Total magnetic moment: 1.546 μB/atom
Space group: No. 166
Excess energy over the best structure of this formula in the dataset: 18.32 kJ/mol of atoms
Total DFT energy (no corrections): -32.7 eV for the cell shown

Unit cell a=3.4716 b=3.4716 c=12.4638 alpha=81.99 beta=81.99 gamma=60.00
Site moments in Bohr magnetons follow the coordinates.
Fractional coordinates of all 4 atoms:
Pm (0.5000, 0.5000, 0.5000)  -0.02
Th (0.0847, 0.0847, 0.7460)  0.07
Th (0.9153, 0.9153, 0.2540)  0.07
Pu (0.0000, 0.0000, 0.0000)  5.67



Density functional theory data (PBE) for Cs2PdOF6 after structural relaxation.

Total magnetic moment: 0.200 μB/atom
Space group: No. 139
Uncorrected formation energy: -16.2 eV/f.u.
Total DFT energy (no corrections): -39.3 eV for the cell shown

Unit cell a=6.4123 b=6.4123 c=6.6430 alpha=61.14 beta=61.14 gamma=90.00
Site moments in Bohr magnetons follow the coordinates.
Fractional coordinates of all 10 atoms:
Cs (0.7500, 0.2500, 0.5000)  0.00
Cs (0.2500, 0.7500, 0.5000)  0.00
O (0.5000, 0.5000, 0.0000)  1.52
Pd (0.0000, 0.0000, 0.0000)  0.01
F (0.2016, 0.2016, 0.5968)  0.00
F (0.7984, 0.7984, 0.4032)  0.00
F (0.2158, 0.2158, 0.0000)  0.01
F (0.7842, 0.7842, 0.0000)  0.01
F (0.7842, 0.2158, 0.0000)  0.02
F (0.2158, 0.7842, 0.0000)  0.02



Density functional theory data (PBE) for CsLiCd2In after structural relaxation.

Formation energy: -0.002 eV per atom
Total magnetic moment: 0.000 μB/atom
Space group: No. 123
Total DFT energy (no corrections): -7.3 eV for the cell shown

Unit cell a=5.7400 b=5.7400 c=5.6596 alpha=90.00 beta=90.00 gamma=90.00
Fractional coordinates of all 5 atoms:
Cs (0.5000, 0.5000, 0.5000)
Cd (0.0000, 0.5000, 0.0000)
Cd (0.5000, 0.0000, 0.0000)
Li (0.0000, 0.0000, 0.5000)
In (0.0000, 0.0000, 0.0000)



Density functional theory data (PBE) for LiHo3Ga2 after structural relaxation.

Formation energy: -0.417 eV per atom
Total magnetic moment: 0.000 μB/atom
Space group: No. 164
Excess energy over the best structure of this formula in the dataset: 0.00 kJ/mol of atoms
Total DFT energy (no corrections): -48.4 eV for the cell shown

Unit cell a=5.0512 b=5.0512 c=12.4224 alpha=90.00 beta=90.00 gamma=120.00
Fractional coordinates of all 12 atoms:
Li (0.3333, 0.6667, 0.6733)
Li (0.6667, 0.3333, 0.3267)
Ho (0.3333, 0.6667, 0.4181)
Ho (0.6667, 0.3333, 0.0787)
Ho (0.0000, 0.0000, 0.7563)
Ho (0.0000, 0.0000, 0.2437)
Ho (0.3333, 0.6667, 0.9213)
Ho (0.6667, 0.3333, 0.5819)
Ga (0.0000, 0.0000, 0.5000)
Ga (0.3333, 0.6667, 0.1795)
Ga (0.6667, 0.3333, 0.8205)
Ga (0.0000, 0.0000, 0.0000)



Density functional theory data (PBE) for LaEr4Tm3 after structural relaxation.

Formation energy: 0.009 eV per atom
Total magnetic moment: 0.000 μB/atom
Space group: No. 31
Excess energy over the best structure of this formula in the dataset: 0.00 kJ/mol of atoms
Total DFT energy (no corrections): -73.0 eV for the cell shown

Unit cell a=6.2239 b=7.2232 c=11.2148 alpha=90.00 beta=90.00 gamma=90.00
Fractional coordinates of all 16 atoms:
La (0.1445, 0.3739, 0.0000)
La (0.6445, 0.6261, 0.5000)
Er (0.1469, 0.8753, 0.0000)
Er (0.6484, 0.1223, 0.0000)
Er (0.9823, 0.1240, 0.2532)
Er (0.4823, 0.8760, 0.2468)
Er (0.1484, 0.8777, 0.5000)
Er (0.6469, 0.1247, 0.5000)
Er (0.4823, 0.8760, 0.7532)
Er (0.9823, 0.1240, 0.7468)
Tm (0.6475, 0.6276, 0.0000)
Tm (0.9817, 0.6263, 0.2509)
Tm (0.4817, 0.3737, 0.2491)
Tm (0.1475, 0.3724, 0.5000)
Tm (0.4817, 0.3737, 0.7509)
Tm (0.9817, 0.6263, 0.7491)



Density functional theory data (PBE) for SmCuPd after structural relaxation.

Formation energy: -0.570 eV per atom
Total magnetic moment: 0.000 μB/atom
Space group: No. 62
Excess energy over the best structure of this formula in the dataset: 0.00 kJ/mol of atoms
Total DFT energy (no corrections): -62.9 eV for the cell shown

Unit cell a=4.2810 b=7.8695 c=7.0778 alpha=90.00 beta=90.00 gamma=90.00
Fractional coordinates of all 12 atoms:
Sm (0.2500, 0.7956, 0.4857)
Sm (0.7500, 0.2956, 0.0143)
Sm (0.2500, 0.7044, 0.9857)
Sm (0.7500, 0.2044, 0.5143)
Cu (0.7500, 0.9193, 0.1732)
Cu (0.7500, 0.5807, 0.6732)
Cu (0.2500, 0.0807, 0.8268)
Cu (0.2500, 0.4193, 0.3268)
Pd (0.7500, 0.5988, 0.2764)
Pd (0.7500, 0.9012, 0.7764)
Pd (0.2500, 0.0988, 0.2236)
Pd (0.2500, 0.4012, 0.7236)



Density functional theory data (PBE) for BaZrCl2 after structural relaxation.

Total magnetic moment: 0.360 μB/atom
Space group: No. 122
Uncorrected formation energy: -3.5 eV/f.u.
Excess energy over the best structure of this formula in the dataset: 18.15 kJ/mol of atoms
Total DFT energy (no corrections): -35.3 eV for the cell shown

Unit cell a=5.4964 b=5.4964 c=9.1274 alpha=72.48 beta=72.48 gamma=90.00
Site moments in Bohr magnetons follow the coordinates.
Fractional coordinates of all 8 atoms:
Ba (0.0000, 0.0000, 0.0000)  0.08
Ba (0.7500, 0.2500, 0.5000)  0.08
Zr (0.5000, 0.5000, 0.0000)  0.69
Zr (0.2500, 0.7500, 0.5000)  0.69
Cl (0.5183, 0.1250, 0.2500)  0.01
Cl (0.2317, 0.6250, 0.2500)  0.01
Cl (0.3750, 0.4817, 0.7500)  0.00
Cl (0.8750, 0.7683, 0.7500)  0.00



Density functional theory data (PBE) for RbTbTi2O6 after structural relaxation.

Total magnetic moment: 0.000 μB/atom
Space group: No. 15
Uncorrected formation energy: -29.4 eV/f.u.
Total DFT energy (no corrections): -161.1 eV for the cell shown

Unit cell a=6.4131 b=7.7338 c=7.7338 alpha=89.28 beta=76.34 gamma=76.34
Fractional coordinates of all 20 atoms:
Rb (0.2500, 0.9044, 0.0956)
Rb (0.7500, 0.0956, 0.9044)
Tb (0.2500, 0.2811, 0.7189)
Tb (0.7500, 0.7189, 0.2811)
Ti (0.3406, 0.7807, 0.6247)
Ti (0.1594, 0.3753, 0.2193)
Ti (0.6594, 0.2193, 0.3753)
Ti (0.8406, 0.6247, 0.7807)
O (0.2195, 0.0001, 0.7290)
O (0.2805, 0.2710, 0.9999)
O (0.7805, 0.9999, 0.2710)
O (0.7195, 0.7290, 0.0001)
O (0.3851, 0.7923, 0.3932)
O (0.1149, 0.6068, 0.2077)
O (0.6149, 0.2077, 0.6068)
O (0.8851, 0.3932, 0.7923)
O (0.1481, 0.6247, 0.7070)
O (0.3519, 0.2930, 0.3753)
O (0.8519, 0.3753, 0.2930)
O (0.6481, 0.7070, 0.6247)



Density functional theory data (PBE) for Er2Si3Ni4Ge after structural relaxation.

Total magnetic moment: 0.000 μB/atom
Space group: No. 115
Uncorrected formation energy: -7.9 eV/f.u.
Total DFT energy (no corrections): -61.1 eV for the cell shown

Unit cell a=3.9757 b=3.9757 c=9.5048 alpha=90.00 beta=90.00 gamma=90.00
Fractional coordinates of all 10 atoms:
Er (0.5000, 0.0000, 0.2459)
Er (0.0000, 0.5000, 0.7541)
Si (0.0000, 0.0000, 0.5000)
Si (0.5000, 0.0000, 0.8730)
Si (0.0000, 0.5000, 0.1270)
Ni (0.5000, 0.5000, 0.0000)
Ni (0.0000, 0.0000, 0.0000)
Ni (0.5000, 0.0000, 0.6322)
Ni (0.0000, 0.5000, 0.3678)
Ge (0.5000, 0.5000, 0.5000)